Entry 1:
{
  "formula": "Ca2AsW",
  "functional": "PBE",
  "state": "relaxed",
  "sg": "P2/m (10)",
  "ef_ev_per_atom": 0.33,
  "lattice_angstrom": [[-3.063, 1.148, 2.543], [0.110, -2.742, 1.371], [4.800, -0.275, 5.906]],
  "species": ["As", "Ca", "Ca", "W"],
  "fractional_positions": [[0.500, 0.750, 0.750], [0.000, 0.013, 0.987], [0.000, 0.487, 0.513], [0.500, 0.250, 0.250]]
}



Entry 2:
{
  "formula": "LaAl2Se",
  "functional": "PBE",
  "state": "relaxed",
  "raw_formation_energy_mev_per_atom": -315,
  "sg": "P4/mmm (123)",
  "lattice_angstrom": [[3.740, 0.000, 0.000], [0.000, 3.736, 0.000], [0.000, 0.000, 6.595]],
  "species": ["Al", "Al", "Se", "La"],
  "fractional_positions": [[0.000, 0.000, 0.949], [0.000, 0.000, 0.551], [0.500, 0.500, 0.750], [0.500, 0.500, 0.250]]
}



Entry 3:
{
  "formula": "Ac2GaCo2",
  "functional": "PBE",
  "state": "relaxed",
  "sg": "P4/mbm (127)",
  "ef_ev_per_atom": -0.09,
  "lattice_angstrom": [[7.444, 0.000, 0.000], [0.000, 7.444, 0.000], [0.000, 0.000, 8.351]],
  "species": ["Ac", "Ac", "Ac", "Ac", "Ac", "Ac", "Ac", "Ac", "Ga", "Ga", "Ga", "Ga", "Co", "Co", "Co", "Co", "Co", "Co", "Co", "Co"],
  "fractional_positions": [[0.686, 0.814, 0.500], [0.314, 0.186, 0.500], [0.814, 0.314, 0.000], [0.186, 0.686, 0.000], [0.814, 0.314, 0.500], [0.186, 0.686, 0.500], [0.314, 0.186, 0.000], [0.686, 0.814, 0.000], [0.500, 0.500, 0.250], [0.000, 0.000, 0.750], [0.500, 0.500, 0.750], [0.000, 0.000, 0.250], [0.392, 0.892, 0.250], [0.608, 0.108, 0.250], [0.108, 0.392, 0.750], [0.892, 0.608, 0.750], [0.892, 0.608, 0.250], [0.108, 0.392, 0.250], [0.392, 0.892, 0.750], [0.608, 0.108, 0.750]]
}



Entry 4:
{
  "formula": "LaAgO2",
  "functional": "PBE",
  "state": "relaxed",
  "raw_formation_energy_mev_per_atom": -2217,
  "sg": "P6_3/mmc (194)",
  "lattice_angstrom": [[-2.395, 2.934, -0.621], [0.401, -2.745, -2.652], [-9.279, -6.456, 5.281]],
  "species": ["O", "O", "O", "O", "Ag", "Ag", "La", "La"],
  "fractional_positions": [[0.333, 0.667, 0.084], [0.333, 0.667, 0.416], [0.667, 0.333, 0.584], [0.667, 0.333, 0.916], [0.333, 0.667, 0.250], [0.667, 0.333, 0.750], [0.000, 0.000, 0.000], [0.000, 0.000, 0.500]]
}



Entry 5:
{
  "formula": "HfZn3Hg",
  "functional": "PBE",
  "state": "relaxed",
  "sg": "Pm-3m (221)",
  "ef_ev_per_atom": 0.81,
  "lattice_angstrom": [[-0.738, -4.276, -2.149], [3.079, 1.240, -3.525], [3.663, -1.904, 2.530]],
  "species": ["Zn", "Zn", "Zn", "Hf", "Hg"],
  "fractional_positions": [[0.000, 0.500, 0.000], [0.000, 0.000, 0.500], [0.500, 0.000, 0.000], [0.500, 0.500, 0.500], [0.000, 0.000, 0.000]]
}



Entry 6:
{
  "formula": "KCo2Sb",
  "functional": "PBE",
  "state": "relaxed",
  "raw_formation_energy_mev_per_atom": 583,
  "sg": "Pmmm (47)",
  "lattice_angstrom": [[3.134, 0.000, 0.000], [0.000, 3.798, 0.000], [0.000, 0.000, 7.375]],
  "species": ["Co", "Co", "K", "Sb"],
  "fractional_positions": [[0.000, 0.000, 0.903], [0.000, 0.000, 0.597], [0.500, 0.500, 0.250], [0.500, 0.500, 0.750]]
}



Entry 7:
{
  "formula": "Cs2Pa3IrO12",
  "functional": "PBE",
  "state": "relaxed",
  "raw_formation_energy_mev_per_atom": -2541,
  "sg": "R-3m (166)",
  "lattice_angstrom": [[7.877, -0.061, -0.043], [3.837, 6.880, -0.043], [3.837, 2.234, 6.507]],
  "species": ["Cs", "Cs", "Pa", "Pa", "Pa", "Ir", "O", "O", "O", "O", "O", "O", "O", "O", "O", "O", "O", "O"],
  "fractional_positions": [[0.622, 0.622, 0.622], [0.378, 0.378, 0.378], [0.500, 0.000, 0.000], [0.000, 0.500, 0.000], [0.000, 0.000, 0.500], [0.000, 0.000, 0.000], [0.320, 0.320, 0.938], [0.944, 0.944, 0.283], [0.283, 0.944, 0.944], [0.938, 0.320, 0.320], [0.944, 0.283, 0.944], [0.320, 0.938, 0.320], [0.680, 0.680, 0.062], [0.056, 0.056, 0.717], [0.717, 0.056, 0.056], [0.062, 0.680, 0.680], [0.056, 0.717, 0.056], [0.680, 0.062, 0.680]]
}



Entry 8:
{
  "formula": "PmNd3Y6Ho2",
  "functional": "PBE",
  "state": "relaxed",
  "sg": "C2/m (12)",
  "ef_ev_per_atom": 0.02,
  "lattice_angstrom": [[-5.126, 0.687, -3.484], [1.623, -5.653, 2.073], [-5.180, 3.374, 10.141]],
  "species": ["Pm", "Nd", "Nd", "Nd", "Y", "Y", "Y", "Y", "Y", "Y", "Ho", "Ho"],
  "fractional_positions": [[0.000, 0.000, 0.000], [0.167, 0.833, 0.500], [0.833, 0.167, 0.500], [0.500, 0.500, 0.500], [0.917, 0.584, 0.753], [0.749, 0.749, 0.247], [0.083, 0.416, 0.247], [0.584, 0.917, 0.753], [0.251, 0.251, 0.753], [0.416, 0.083, 0.247], [0.333, 0.667, 0.000], [0.667, 0.333, 0.000]]
}



Entry 9:
{
  "formula": "ScCd5Ag",
  "functional": "PBE",
  "state": "relaxed",
  "sg": "C2/c (15)",
  "ef_ev_per_atom": -0.01,
  "lattice_angstrom": [[-2.501, -5.414, 5.032], [6.703, -0.792, 0.122], [-1.087, 5.777, 3.319]],
  "species": ["Sc", "Sc", "Cd", "Cd", "Cd", "Cd", "Cd", "Cd", "Cd", "Cd", "Cd", "Cd", "Ag", "Ag"],
  "fractional_positions": [[0.750, 0.301, 0.199], [0.250, 0.699, 0.801], [0.617, 0.927, 0.775], [0.612, 0.804, 0.249], [0.117, 0.275, 0.427], [0.750, 0.580, 0.920], [0.888, 0.251, 0.696], [0.112, 0.749, 0.304], [0.250, 0.420, 0.080], [0.883, 0.725, 0.573], [0.388, 0.196, 0.751], [0.383, 0.073, 0.225], [0.000, 0.000, 0.000], [0.500, 0.500, 0.500]]
}



Entry 10:
{
  "formula": "Ti3AuN",
  "functional": "PBE",
  "state": "relaxed",
  "raw_formation_energy_mev_per_atom": -851,
  "sg": "P2_1/c (14)",
  "lattice_angstrom": [[21.445, 0.000, -2.830], [0.000, 5.396, 0.000], [-7.694, 0.000, 3.548]],
  "species": ["N", "N", "N", "N", "Au", "Au", "Au", "Au", "Ti", "Ti", "Ti", "Ti", "Ti", "Ti", "Ti", "Ti", "Ti", "Ti", "Ti", "Ti"],
  "fractional_positions": [[0.531, 0.752, 0.663], [0.469, 0.248, 0.337], [0.969, 0.252, 0.837], [0.031, 0.748, 0.163], [0.002, 0.178, 0.395], [0.998, 0.822, 0.605], [0.498, 0.678, 0.105], [0.502, 0.322, 0.895], [0.300, 0.912, 0.946], [0.700, 0.088, 0.054], [0.200, 0.412, 0.554], [0.800, 0.588, 0.446], [0.350, 0.439, 0.237], [0.650, 0.561, 0.763], [0.150, 0.939, 0.263], [0.850, 0.061, 0.737], [0.421, 0.858, 0.614], [0.579, 0.142, 0.386], [0.079, 0.358, 0.886], [0.921, 0.642, 0.114]]
}



Entry 11:
{
  "formula": "La6ZnAu",
  "functional": "PBE",
  "state": "relaxed",
  "sg": "P-1 (2)",
  "ef_ev_per_atom": -0.05,
  "lattice_angstrom": [[-1.395, 2.980, 6.055], [3.565, -1.792, 5.625], [5.567, 5.530, 2.488]],
  "species": ["La", "La", "La", "La", "La", "La", "Zn", "Au"],
  "fractional_positions": [[0.054, 0.438, 0.723], [0.784, 0.053, 0.724], [0.563, 0.216, 0.276], [0.216, 0.947, 0.276], [0.946, 0.562, 0.277], [0.437, 0.784, 0.724], [0.500, 0.500, 0.500], [0.000, 0.000, 0.000]]
}